No. 1
CeTm2Rh after structural relaxation. Source: Alexandria, functional PBE.

Mass density, g/cm³: 9.66
DFT total energy, Ha/atom: -0.22001
Density of states at the Fermi level, states/eV per cell: 6.28
Formation energy from the elements, eV/atom: -0.43

The structure in CIF format:
```
data_CeTm2Rh
_cell_length_a 3.404
_cell_length_b 3.404
_cell_length_c 8.615
_cell_angle_alpha 90.00
_cell_angle_beta 90.00
_cell_angle_gamma 90.00
_space_group_name_H-M_alt 'P 4/m m m'
_space_group_IT_number 123
_space_group_name_Hall '-P 4 2'
loop_
_atom_site_label
_atom_site_type_symbol
_atom_site_fract_x
_atom_site_fract_y
_atom_site_fract_z
Ce1 Ce 0.000 0.000 0.000
Tm1 Tm 0.500 0.500 0.309
Rh1 Rh 0.000 0.000 0.500
```



No. 2
Ce2TmRh6 after structural relaxation. Source: Alexandria, functional PBE.

Mass density, g/cm³: 9.70
DFT total energy, Ha/atom: -0.26219
Density of states at the Fermi level, states/eV per cell: 12.60
Formation energy from the elements, eV/atom: -0.42

The structure in CIF format:
```
data_Ce2TmRh6
_cell_length_a 12.336
_cell_length_b 8.035
_cell_length_c 3.879
_cell_angle_alpha 90.00
_cell_angle_beta 108.27
_cell_angle_gamma 90.00
_space_group_name_H-M_alt 'C 1 2/m 1'
_space_group_IT_number 12
loop_
_space_group_symop_operation_xyz
'x,y,z'
'-x,-y,-z'
'-x,y,-z'
'x,-y,z'
'x+1/2,y+1/2,z'
'-x+1/2,-y+1/2,-z'
'-x+1/2,y+1/2,-z'
'x+1/2,-y+1/2,z'
loop_
_atom_site_label
_atom_site_type_symbol
_atom_site_fract_x
_atom_site_fract_y
_atom_site_fract_z
Ce1 Ce 0.168 0.000 0.171
Tm1 Tm 0.000 0.500 0.500
Rh1 Rh 0.000 0.239 0.000
Rh2 Rh 0.166 0.243 0.667
```



No. 3
Ce3TmRh3 after structural relaxation. Source: Alexandria, functional PBE.

Mass density, g/cm³: 9.26
DFT total energy, Ha/atom: -0.25587
Density of states at the Fermi level, states/eV per cell: 45.19
Formation energy from the elements, eV/atom: -0.63

The structure in CIF format:
```
data_Ce3TmRh3
_cell_length_a 9.002
_cell_length_b 10.297
_cell_length_c 6.948
_cell_angle_alpha 90.00
_cell_angle_beta 90.61
_cell_angle_gamma 90.00
_space_group_name_H-M_alt 'C 1 2/m 1'
_space_group_IT_number 12
loop_
_space_group_symop_operation_xyz
'x,y,z'
'-x,-y,-z'
'-x,y,-z'
'x,-y,z'
'x+1/2,y+1/2,z'
'-x+1/2,-y+1/2,-z'
'-x+1/2,y+1/2,-z'
'x+1/2,-y+1/2,z'
loop_
_atom_site_label
_atom_site_type_symbol
_atom_site_fract_x
_atom_site_fract_y
_atom_site_fract_z
Ce1 Ce 0.000 0.185 0.000
Ce2 Ce 0.000 0.253 0.500
Ce3 Ce 0.136 0.500 0.891
Tm1 Tm 0.248 0.000 0.616
Rh1 Rh 0.060 0.000 0.286
Rh2 Rh 0.244 0.272 0.730
```



No. 4
CeTm2Rh after structural relaxation. Source: Alexandria, functional PBE.

Mass density, g/cm³: 8.77
DFT total energy, Ha/atom: -0.21477
Density of states at the Fermi level, states/eV per cell: 22.32
Formation energy from the elements, eV/atom: -0.29

The structure in CIF format:
```
data_CeTm2Rh
_cell_length_a 3.6680
_cell_length_b 3.6680
_cell_length_c 28.3270
_cell_angle_alpha 90.00
_cell_angle_beta 90.00
_cell_angle_gamma 120.00
_space_group_name_H-M_alt 'R -3 m'
_space_group_IT_number 166
_space_group_name_Hall '-R 3 2"'
loop_
_atom_site_label
_atom_site_type_symbol
_atom_site_fract_x
_atom_site_fract_y
_atom_site_fract_z
Ce1 Ce 0.0000 0.0000 0.0000
Tm1 Tm 0.0000 0.0000 0.2267
Rh1 Rh 0.0000 0.0000 0.5000
```